No. 1
Here is an optimized crystal structure of CsNaCd2Pt from Alexandria via LeMat-Bulk. Energies are from PBE.

Unit cell a=5.4149 b=5.4149 c=5.5838 alpha=90.00 beta=90.00 gamma=90.00
Sites, in units of the cell vectors:
Cs: 0.5000 0.5000 0.5000
Cd: 0.0000 0.5000 0.0000
Cd: 0.5000 0.0000 0.0000
Pt: 0.0000 0.0000 0.0000
Na: 0.0000 0.0000 0.5000

The calculation puts the offset from the most stable computed form at 0.000 eV/atom. The density of states at the Fermi level is 2.55 states/eV/cell. The space-group type is P4/mmm. The formation energy comes out at -0.185 eV per atom. The raw total energy is -2.19 eV per atom.



No. 2
Here is an optimized crystal structure of BeZn4Sb from Alexandria via LeMat-Bulk. Energies are from PBE.

Unit cell a=5.2274 b=5.2274 c=5.2274 alpha=60.00 beta=60.00 gamma=60.00
Sites, in units of the cell vectors:
Zn: 0.3759 0.8723 0.3759
Zn: 0.8723 0.3759 0.3759
Zn: 0.3759 0.3759 0.3759
Zn: 0.3759 0.3759 0.8723
Sb: 0.0000 0.0000 0.0000
Be: 0.7500 0.7500 0.7500

The density of states at the Fermi level is 3.13 states/eV/cell. The space-group type is F-43m. The raw total energy is -1.77 eV per atom.



No. 3
Here is an optimized crystal structure of SiBrO2F from Alexandria via LeMat-Bulk. Energies are from PBE.

Unit cell a=3.8377 b=3.8377 c=5.3249 alpha=90.00 beta=90.00 gamma=90.00
Sites, in units of the cell vectors:
O: 0.5000 0.0000 0.0000
O: 0.0000 0.5000 0.0000
Si: 0.5000 0.5000 0.5000
Br: 0.0000 0.0000 0.0000
F: 0.0000 0.0000 0.5000

The density of states at the Fermi level is 3.02 states/eV/cell. The space-group type is P4/mmm. The raw total energy is -3.36 eV per atom.